# UAlCoO6

UAlCoO6 after structural relaxation (PBE+U, Alexandria via LeMat-Bulk).

Values from the calculation:
**E**: -7.794 eV/atom
**Total magnetic moment**: 4.4 Bohr magnetons per cell
**Theoretical density**: 6.80 g cm⁻³

a = 5.2035 Å, b = 5.2035 Å, c = 8.7462 Å
α = 90.00°, β = 90.00°, γ = 120.00°
With the nearest neighbours (Å) after each atom.
Space group P-31c (No. 163)
Symmetry-distinct sites (fractional):
1 U 0.3333 0.6667 0.2500  6 O 2.08
2 Al 0.3333 0.6667 0.7500  6 O 1.93
3 Co 0.0000 0.0000 0.0000  6 O 2.12
4 O 0.0224 0.3527 0.6314  1 Al 1.93, 1 U 2.08, 1 Co 2.12